# 1
Crystalline InSbTe2 at its relaxed geometry, computed with GGA-PBE.

Cell lengths 8.151, 8.151, 8.151 Å; angles 150.85, 150.61, 41.88 degrees
Positions (direct):
In 0.459 0.459 0.000
Sb 0.206 0.706 0.500
Te 0.048 0.048 0.000
Te 0.787 0.287 0.500

Properties
calculated volume: 32.29 A^3/atom
size of the total moment: 0.0 μB per formula unit
VASP energy: -3.3241 eV per atom

# 2
Crystalline In4SbTe2 at its relaxed geometry, computed with GGA-PBE.

Cell lengths 8.623, 8.603, 8.671 Å; angles 110.38, 110.66, 112.30 degrees
Positions (direct):
In 0.940 0.273 0.325
In 0.310 0.477 0.175
In 0.967 0.660 0.724
In 0.727 0.060 0.674
In 0.340 0.032 0.276
In 0.282 0.090 0.776
In 0.523 0.690 0.826
In 0.910 0.717 0.223
Sb 0.289 0.711 0.500
Sb 0.961 0.039 0.000
Te 0.625 0.375 0.750
Te 0.625 0.875 0.250
Te 0.625 0.375 0.250
Te 0.125 0.375 0.750

Properties
calculated volume: 33.04 A^3/atom
size of the total moment: 0.0 μB per formula unit
VASP energy: -3.1662 eV per atom

# 3
Crystalline InSb4Te7 at its relaxed geometry, computed with GGA-PBE.

Cell lengths 4.356, 4.356, 24.234 Å; angles 90.00, 90.00, 120.00 degrees
Positions (direct):
In 0.000 0.000 0.500
Sb 0.667 0.333 0.082
Sb 0.333 0.667 0.918
Sb 0.667 0.333 0.341
Sb 0.333 0.667 0.659
Te 0.000 0.000 0.000
Te 0.667 0.333 0.576
Te 0.333 0.667 0.424
Te 0.667 0.333 0.848
Te 0.333 0.667 0.152
Te 0.000 0.000 0.271
Te 0.000 0.000 0.729

Properties
calculated volume: 33.18 A^3/atom
size of the total moment: 0.0 μB per formula unit
VASP energy: -3.5786 eV per atom

# 4
Crystalline In3SbTe4 at its relaxed geometry, computed with GGA-PBE.

Cell lengths 6.856, 6.856, 6.856 Å; angles 106.58, 106.58, 115.42 degrees
Positions (direct):
In 0.500 0.500 0.000
In 0.000 0.500 0.500
In 0.500 0.000 0.500
Sb 0.000 0.000 0.000
Te 0.554 0.446 0.500
Te 0.946 0.054 0.500
Te 0.054 0.554 0.108
Te 0.446 0.946 0.892

Properties
calculated volume: 30.76 A^3/atom
size of the total moment: 0.0 μB per formula unit
VASP energy: -3.2255 eV per atom

# 5
Crystalline InSbTe2 at its relaxed geometry, computed with GGA-PBE.

Cell lengths 6.703, 6.703, 6.703 Å; angles 140.29, 137.95, 59.21 degrees
Positions (direct):
In 0.750 0.250 0.500
Sb 0.250 0.750 0.500
Te 0.069 0.069 0.000
Te 0.431 0.431 0.000

Properties
calculated volume: 31.90 A^3/atom
size of the total moment: 0.0 μB per formula unit
VASP energy: -3.2407 eV per atom

# 6
Crystalline InSbTe2 at its relaxed geometry, computed with GGA-PBE.

Cell lengths 4.400, 3.240, 8.877 Å; angles 89.97, 90.00, 90.00 degrees
Positions (direct):
In 0.500 0.250 0.250
Sb 0.500 0.750 0.750
Te 0.000 0.751 0.000
Te 0.000 0.749 0.500

Properties
calculated volume: 31.64 A^3/atom
size of the total moment: 0.0 μB per formula unit
VASP energy: -3.3656 eV per atom

Q: Among the records above, which one has the highest calculated volume?
A: InSb4Te7